A relaxed TlHgMoF6 crystal. Source: the Alexandria database, functional GGA+U.

```
18
Lattice="7.081 0.000 0.000 -3.541 6.133 0.000 0.000 0.000 9.061" Properties=species:S:1:pos:R:3 pbc="T T T"
Tl 0.000 0.000 0.000
Tl 0.000 0.000 4.530
F 1.589 4.252 5.705
Hg 3.541 2.044 6.796
F 2.887 3.502 1.175
F 2.604 0.749 1.175
Mo 0.000 4.088 6.796
F -0.936 5.383 5.705
F 4.477 0.749 3.356
F 4.194 3.502 3.356
F -0.653 2.630 5.705
F 5.130 1.881 1.175
F -1.589 4.252 7.886
Hg 0.000 4.088 2.265
Mo 3.541 2.044 2.265
F 1.951 1.881 3.356
F 0.936 5.383 7.886
F 0.653 2.630 7.886
```

## Properties
* electronic total energy: -4.353 eV per atom